A relaxed AlIn2Tc2 crystal, computed with PBE.

VASP energy ... -5.934 eV/atom
V ... 18.4 A^3/atom
Space group ... P4/mbm

Unit cell a=6.493 b=6.493 c=4.361 alpha=90.00 beta=90.00 gamma=90.00
Fractional positions:
Al1 0.000 0.000 0.000
Al2 0.500 0.500 0.000
In1 0.171 0.329 0.500
In2 0.329 0.829 0.500
In3 0.671 0.171 0.500
In4 0.829 0.671 0.500
Tc1 0.133 0.633 0.000
Tc2 0.367 0.133 0.000
Tc3 0.633 0.867 0.000
Tc4 0.867 0.367 0.000

---

A relaxed AlInTc crystal, computed with PBE.

VASP energy ... -5.500 eV/atom
V ... 17.4 A^3/atom
Space group ... P-6m2

Unit cell a=4.364 b=4.364 c=3.158 alpha=90.00 beta=90.00 gamma=120.00
Fractional positions:
Al1 0.000 0.000 0.000
In1 0.667 0.333 0.500
Tc1 0.333 0.667 0.000

---

A relaxed ZrAl2InTc crystal, computed with PBE.

VASP energy ... -4.137 eV/atom
V ... 26.7 A^3/atom
Space group ... P4/mmm

Unit cell a=5.020 b=5.020 c=5.302 alpha=90.00 beta=90.00 gamma=90.00
Fractional positions:
Zr1 0.000 0.000 0.000
Al1 0.000 0.500 0.000
Al2 0.500 0.000 0.000
In1 0.000 0.000 0.500
Tc1 0.500 0.500 0.500

---

A relaxed Zr2AlInTc crystal, computed with PBE.

VASP energy ... -5.757 eV/atom
V ... 23.6 A^3/atom
Space group ... P4/mmm

Unit cell a=4.985 b=4.985 c=4.749 alpha=90.00 beta=90.00 gamma=90.00
Fractional positions:
Zr1 0.000 0.500 0.000
Zr2 0.500 0.000 0.000
Al1 0.000 0.000 0.000
In1 0.000 0.000 0.500
Tc1 0.500 0.500 0.500

---

A relaxed Al3In12Te5 crystal, computed with PBE.

Formation energy without anion corrections ... 67 meV per atom
VASP energy ... -2.923 eV/atom
V ... 33.4 A^3/atom
Space group ... Ia-3d

Unit cell a=15.138 b=15.138 c=15.138 alpha=109.47 beta=109.47 gamma=109.47
Fractional positions:
Al1 0.125 0.250 0.375
Al2 0.125 0.375 0.750
Al3 0.250 0.375 0.125
Al4 0.250 0.875 0.625
Al5 0.375 0.125 0.250
Al6 0.375 0.750 0.125
Al7 0.625 0.250 0.875
Al8 0.625 0.875 0.750
Al9 0.750 0.125 0.375
Al10 0.750 0.625 0.875
Al11 0.875 0.625 0.250
Al12 0.875 0.750 0.625
In1 0.068 0.641 0.401
In2 0.068 0.927 0.666
In3 0.073 0.240 0.141
In4 0.073 0.334 0.932
In5 0.099 0.740 0.666
In6 0.099 0.859 0.432
In7 0.141 0.073 0.240
In8 0.141 0.568 0.901
In9 0.166 0.240 0.599
In10 0.166 0.427 0.568
In11 0.240 0.141 0.073
In12 0.240 0.599 0.166
In13 0.260 0.334 0.901
In14 0.260 0.427 0.359
In15 0.334 0.901 0.260
In16 0.334 0.932 0.073
In17 0.359 0.260 0.427
In18 0.359 0.599 0.932
In19 0.401 0.068 0.641
In20 0.401 0.834 0.760
In21 0.427 0.359 0.260
In22 0.427 0.568 0.166
In23 0.432 0.099 0.859
In24 0.432 0.834 0.573
In25 0.568 0.166 0.427
In26 0.568 0.901 0.141
In27 0.573 0.432 0.834
In28 0.573 0.641 0.740
In29 0.599 0.166 0.240
In30 0.599 0.932 0.359
In31 0.641 0.401 0.068
In32 0.641 0.740 0.573
In33 0.666 0.068 0.927
In34 0.666 0.099 0.740
In35 0.740 0.573 0.641
In36 0.740 0.666 0.099
In37 0.760 0.401 0.834
In38 0.760 0.859 0.927
In39 0.834 0.573 0.432
In40 0.834 0.760 0.401
In41 0.859 0.432 0.099
In42 0.859 0.927 0.760
In43 0.901 0.141 0.568
In44 0.901 0.260 0.334
In45 0.927 0.666 0.068
In46 0.927 0.760 0.859
In47 0.932 0.073 0.334
In48 0.932 0.359 0.599
Te1 0.000 0.000 0.000
Te2 0.000 0.000 0.500
Te3 0.000 0.500 0.000
Te4 0.000 0.500 0.500
Te5 0.125 0.750 0.875
Te6 0.125 0.875 0.250
Te7 0.250 0.125 0.875
Te8 0.250 0.625 0.375
Te9 0.375 0.250 0.625
Te10 0.375 0.625 0.750
Te11 0.500 0.000 0.000
Te12 0.500 0.000 0.500
Te13 0.500 0.500 0.000
Te14 0.500 0.500 0.500
Te15 0.625 0.375 0.250
Te16 0.625 0.750 0.375
Te17 0.750 0.375 0.625
Te18 0.750 0.875 0.125
Te19 0.875 0.125 0.750
Te20 0.875 0.250 0.125

---

A relaxed Al5In3Te12 crystal, computed with PBE.

Formation energy without anion corrections ... -166 meV per atom
VASP energy ... -3.398 eV/atom
V ... 31.8 A^3/atom
Space group ... Ia-3d

Unit cell a=14.889 b=14.889 c=14.889 alpha=109.47 beta=109.47 gamma=109.47
Fractional positions:
Al1 0.000 0.000 0.000
Al2 0.000 0.000 0.500
Al3 0.000 0.500 0.000
Al4 0.000 0.500 0.500
Al5 0.125 0.750 0.875
Al6 0.125 0.875 0.250
Al7 0.250 0.125 0.875
Al8 0.250 0.625 0.375
Al9 0.375 0.250 0.625
Al10 0.375 0.625 0.750
Al11 0.500 0.000 0.000
Al12 0.500 0.000 0.500
Al13 0.500 0.500 0.000
Al14 0.500 0.500 0.500
Al15 0.625 0.375 0.250
Al16 0.625 0.750 0.375
Al17 0.750 0.375 0.625
Al18 0.750 0.875 0.125
Al19 0.875 0.125 0.750
Al20 0.875 0.250 0.125
In1 0.125 0.250 0.375
In2 0.125 0.375 0.750
In3 0.250 0.375 0.125
In4 0.250 0.875 0.625
In5 0.375 0.125 0.250
In6 0.375 0.750 0.125
In7 0.625 0.250 0.875
In8 0.625 0.875 0.750
In9 0.750 0.125 0.375
In10 0.750 0.625 0.875
In11 0.875 0.625 0.250
In12 0.875 0.750 0.625
Te1 0.033 0.210 0.120
Te2 0.033 0.323 0.913
Te3 0.087 0.620 0.410
Te4 0.087 0.967 0.677
Te5 0.090 0.710 0.677
Te6 0.090 0.880 0.413
Te7 0.120 0.033 0.210
Te8 0.120 0.587 0.910
Te9 0.177 0.210 0.590
Te10 0.177 0.467 0.587
Te11 0.210 0.120 0.033
Te12 0.210 0.590 0.177
Te13 0.290 0.323 0.910
Te14 0.290 0.467 0.380
Te15 0.323 0.910 0.290
Te16 0.323 0.913 0.033
Te17 0.380 0.290 0.467
Te18 0.380 0.590 0.913
Te19 0.410 0.087 0.620
Te20 0.410 0.823 0.790
Te21 0.413 0.090 0.880
Te22 0.413 0.823 0.533
Te23 0.467 0.380 0.290
Te24 0.467 0.587 0.177
Te25 0.533 0.413 0.823
Te26 0.533 0.620 0.710
Te27 0.587 0.177 0.467
Te28 0.587 0.910 0.120
Te29 0.590 0.177 0.210
Te30 0.590 0.913 0.380
Te31 0.620 0.410 0.087
Te32 0.620 0.710 0.533
Te33 0.677 0.087 0.967
Te34 0.677 0.090 0.710
Te35 0.710 0.533 0.620
Te36 0.710 0.677 0.090
Te37 0.790 0.410 0.823
Te38 0.790 0.880 0.967
Te39 0.823 0.533 0.413
Te40 0.823 0.790 0.410
Te41 0.880 0.413 0.090
Te42 0.880 0.967 0.790
Te43 0.910 0.120 0.587
Te44 0.910 0.290 0.323
Te45 0.913 0.033 0.323
Te46 0.913 0.380 0.590
Te47 0.967 0.677 0.087
Te48 0.967 0.790 0.880